Density functional theory data (GGA-PBE) for a relaxed Ac3Co crystal.

Results
ΔH_f (0 K) (eV per formula unit): 0.91
Total magnetic moment (μB/cell): 0.00

abc: 3.8466 3.8531 9.9740
angles: 90.00 90.00 90.00
Positions (direct):
Ac (0.5000, 0.5000, 0.1127)
Ac (0.5000, 0.0000, 0.7720)
Ac (0.0000, 0.5000, 0.4674)
Co (0.0000, 0.0000, 0.9813)